# NaTl6Te5

NaTl6Te5 after structural relaxation (PBE, Alexandria).

Lattice parameters (Å, degrees): 7.1047 7.1047 8.5746 91.70 91.70 93.96
Closest atoms and distances in Å follow each position.
Sites, in units of the cell vectors:
Na 0.0000 0.0000 0.0000  2 Te 3.01
Tl 0.1019 0.4683 0.2757  4 Te 3.23-3.47, 1 Tl 3.50
Tl 0.3174 0.3174 0.8032  3 Te 3.21-3.24, 2 Tl 3.50, 1 Na 3.57
Tl 0.4683 0.1019 0.2757  4 Te 3.23-3.47, 1 Tl 3.50
Tl 0.5317 0.8981 0.7243  4 Te 3.23-3.47, 1 Tl 3.50
Tl 0.6826 0.6826 0.1968  3 Te 3.21-3.24, 2 Tl 3.50, 1 Na 3.57
Tl 0.8981 0.5317 0.7243  4 Te 3.23-3.47, 1 Tl 3.50
Te 0.1343 0.8657 0.5000  1 Te 2.79
Te 0.2898 0.7102 0.0000  1 Na 3.01, 4 Tl 3.23-3.24
Te 0.5000 0.5000 0.5000  6 Tl 3.21-3.36
Te 0.7102 0.2898 0.0000  1 Na 3.01, 4 Tl 3.23-3.24
Te 0.8657 0.1343 0.5000  1 Te 2.79

Summary:
Formation energy from raw total energies = -0.261 eV per atom
Space group = No. 12
ρ = 7.26 g/cm3
DOS at the Fermi energy = 0.318 states/eV per atom